Entry 1:
A plane-wave DFT calculation with PBE was carried out for a relaxed Nb2AsPN crystal.

For the density of states at the Fermi level, the calculation gives 1.015 states/eV per atom. The calculation puts the total energy at -5.815 eV per atom. Its total moment is 0.000 μB per atom.

abc: 4.811 4.811 4.374
angles: 90.00 90.00 90.00
Space group P4/mmm (No. 123)
Symmetry-distinct sites (fractional):
Nb: 0.000 0.500 0.000 x2
As: 0.000 0.000 0.000 x1
P: 0.000 0.000 0.500 x1
N: 0.500 0.500 0.500 x1

=====

Entry 2:
A plane-wave DFT calculation with PBE was carried out for a relaxed NbPO2F crystal.

For the density of states at the Fermi level, the calculation gives 0.884 states/eV per atom. The calculation puts the total energy at -5.855 eV per atom. Its total moment is 0.608 μB per atom.

abc: 3.934 3.934 3.974
angles: 90.00 90.00 90.00
Space group P4/mmm (No. 123)
Symmetry-distinct sites (fractional):
Nb: 0.000 0.000 0.000 x1
P: 0.500 0.500 0.500 x1
O: 0.000 0.500 0.500 x2
F: 0.500 0.500 0.000 x1